No. 1
First-principles (PBE-GGA) data for an optimized crystal structure of Na3In2Hg4Pb2, as listed in the Alexandria database.

Results
E_form = -0.133 eV/atom

Cell lengths 5.0762, 5.0762, 13.9981 Å; angles 90.00, 90.00, 120.00 degrees
With the nearest neighbours (Å) after each atom.
Fractional coordinates of all 11 atoms:
Na 0.0000 0.0000 0.7425  3 Hg 3.14, 3 In 3.44
Na 0.0000 0.0000 0.0000  6 Hg 3.34, 6 In 3.45, 2 Na 3.60
Na 0.0000 0.0000 0.2575  3 Hg 3.14, 3 In 3.44
In 0.6667 0.3333 0.8706  4 Hg 2.93-2.94
In 0.3333 0.6667 0.1294  4 Hg 2.93-2.94
Hg 0.6667 0.3333 0.1139  3 In 2.94
Hg 0.3333 0.6667 0.8861  3 In 2.94
Hg 0.6667 0.3333 0.6615  1 In 2.93, 4 Pb 3.13-3.24, 3 Na 3.14
Hg 0.3333 0.6667 0.3385  1 In 2.93, 4 Pb 3.13-3.24, 3 Na 3.14
Pb 0.6667 0.3333 0.4378  4 Hg 3.13-3.24, 3 Pb 3.41
Pb 0.3333 0.6667 0.5622  4 Hg 3.13-3.24, 3 Pb 3.41



No. 2
First-principles (PBE-GGA) data for an optimized crystal structure of Sm3AlAu4, as listed in the Alexandria database.

Results
E_form = -0.649 eV/atom

Cell lengths 4.0476, 7.0769, 8.1767 Å; angles 115.64, 104.33, 90.00 degrees
With the nearest neighbours (Å) after each atom.
Fractional coordinates of all 8 atoms:
Sm 0.1920 0.1920 0.3839  6 Au 3.04-3.05, 2 Al 3.39
Sm 0.8080 0.8080 0.6161  6 Au 3.04-3.05, 2 Al 3.39
Sm 0.0000 0.5000 0.0000  8 Au 3.05
Al 0.5000 0.0000 0.0000  4 Au 2.67
Au 0.3787 0.1681 0.7574  1 Al 2.67, 1 Au 2.98
Au 0.6213 0.8319 0.2426  1 Al 2.67, 1 Au 2.98
Au 0.6213 0.4107 0.2426  1 Al 2.67, 1 Au 2.98
Au 0.3787 0.5893 0.7574  1 Al 2.67, 1 Au 2.98



No. 3
First-principles (PBE-GGA) data for an optimized crystal structure of TaCr2TcI, as listed in the Alexandria database.

Results
Uncorrected formation energy = 197.76 kJ per mole of atoms

Cell lengths 4.5274, 4.7331, 4.5274 Å; angles 90.00, 90.00, 90.00 degrees
With the nearest neighbours (Å) after each atom.
Fractional coordinates of all 5 atoms:
I 0.0000 0.0000 0.0000  4 Cr 2.26, 2 Tc 2.37
Cr 0.0000 0.0000 0.5000  2 I 2.26
Cr 0.5000 0.0000 0.0000  2 I 2.26
Tc 0.0000 0.5000 0.0000  2 I 2.37
Ta 0.5000 0.5000 0.5000  4 Tc 3.20, 8 Cr 3.27



No. 4
First-principles (PBE-GGA) data for an optimized crystal structure of Zn, as listed in the Alexandria database.

Results
E_form = 0.330 eV/atom
Distance to the lowest polymorph of the same formula = 31.9 kJ/mol of atoms

Cell lengths 4.4060, 4.4060, 4.7589 Å; angles 90.00, 90.00, 120.00 degrees
With the nearest neighbours (Å) after each atom.
Fractional coordinates of all 4 atoms:
Zn 0.0000 0.0000 0.2500  5 Zn 2.38-2.54
Zn 0.0000 0.0000 0.7500  5 Zn 2.38-2.54
Zn 0.3333 0.6667 0.2500  3 Zn 2.54
Zn 0.6667 0.3333 0.7500  3 Zn 2.54



No. 5
First-principles (PBE-GGA) data for an optimized crystal structure of CsNa2Br3, as listed in the Alexandria database.

Results
Uncorrected formation energy = -153.33 kJ per mole of atoms

Cell lengths 4.8527, 8.3057, 11.1738 Å; angles 90.00, 90.00, 106.99 degrees
With the nearest neighbours (Å) after each atom.
Fractional coordinates of all 12 atoms:
Cs 0.2470 0.4939 0.2500  8 Br 3.76-3.97
Cs 0.7530 0.5061 0.7500  8 Br 3.76-3.97
Na 0.0000 0.0000 0.0000  6 Br 3.02-3.15
Na 0.0000 0.0000 0.5000  6 Br 3.02-3.15
Na 0.5146 0.0292 0.2500  4 Br 2.79
Na 0.4854 0.9708 0.7500  4 Br 2.79
Br 0.6215 0.2430 0.0518  1 Na 2.79
Br 0.0722 0.1444 0.7500  4 Na 2.79-3.02
Br 0.6215 0.2430 0.4482  1 Na 2.79
Br 0.9278 0.8556 0.2500  4 Na 2.79-3.02
Br 0.3785 0.7570 0.9482  1 Na 2.79
Br 0.3785 0.7570 0.5518  1 Na 2.79



No. 6
First-principles (PBE-GGA) data for an optimized crystal structure of Ta2V2W3, as listed in the Alexandria database.

Results
E_form = 0.123 eV/atom
Distance to the lowest polymorph of the same formula = 0.0 kJ/mol of atoms

Cell lengths 3.2882, 3.1676, 11.0700 Å; angles 90.00, 81.46, 90.00 degrees
With the nearest neighbours (Å) after each atom.
Fractional coordinates of all 7 atoms:
Ta 0.5734 0.5000 0.8531  8 W 2.79-2.84, 1 V 2.98
Ta 0.4266 0.5000 0.1469  8 W 2.79-2.84, 1 V 2.98
V 0.7098 0.5000 0.5805  2 V 2.41, 4 W 2.62
V 0.2902 0.5000 0.4195  2 V 2.41, 4 W 2.62
W 0.8490 0.0000 0.3020  4 V 2.62, 4 Ta 2.84
W 0.0000 0.0000 0.0000  8 Ta 2.79
W 0.1510 0.0000 0.6980  4 V 2.62, 4 Ta 2.84



No. 7
First-principles (PBE-GGA) data for an optimized crystal structure of AgPd2Ru, as listed in the Alexandria database.

Results
E_form = 0.116 eV/atom
Distance to the lowest polymorph of the same formula = 0.0 kJ/mol of atoms

Cell lengths 2.7895, 2.7895, 9.3346 Å; angles 81.41, 81.41, 60.00 degrees
With the nearest neighbours (Å) after each atom.
Fractional coordinates of all 4 atoms:
Ru 0.0000 0.0000 0.0000  6 Pd 2.72, 6 Ru 2.79
Pd 0.7460 0.7460 0.7621  3 Ru 2.72, 6 Pd 2.79, 3 Ag 2.90
Pd 0.2540 0.2540 0.2379  3 Ru 2.72, 6 Pd 2.79, 3 Ag 2.90
Ag 0.5000 0.5000 0.5000  6 Ag 2.79, 6 Pd 2.90



No. 8
First-principles (PBE-GGA) data for an optimized crystal structure of Cs4NaSn3Cl12, as listed in the Alexandria database.

Results
Uncorrected formation energy = -145.05 kJ per mole of atoms

Cell lengths 9.5596, 9.5596, 9.5596 Å; angles 109.47, 109.47, 109.47 degrees
With the nearest neighbours (Å) after each atom.
Fractional coordinates of all 20 atoms:
Cs 0.5000 0.5000 0.5000  12 Cl 3.90
Cs 0.0000 0.0000 0.5000  12 Cl 3.90
Cs 0.5000 0.0000 0.0000  12 Cl 3.90
Cs 0.0000 0.5000 0.0000  12 Cl 3.90
Na 0.0000 0.0000 0.0000  6 Cl 2.81
Sn 0.5000 0.0000 0.5000  6 Cl 2.71-2.76
Sn 0.5000 0.5000 0.0000  6 Cl 2.71-2.76
Sn 0.0000 0.5000 0.5000  6 Cl 2.71-2.76
Cl 0.2500 0.5000 0.7500  2 Sn 2.76
Cl 0.7451 0.0000 0.7451  1 Sn 2.71, 1 Na 2.81
Cl 0.2549 0.0000 0.2549  1 Sn 2.71, 1 Na 2.81
Cl 0.7500 0.5000 0.2500  2 Sn 2.76
Cl 0.7451 0.7451 0.0000  1 Sn 2.71, 1 Na 2.81
Cl 0.2549 0.2549 0.0000  1 Sn 2.71, 1 Na 2.81
Cl 0.7500 0.2500 0.5000  2 Sn 2.76
Cl 0.2500 0.7500 0.5000  2 Sn 2.76
Cl 0.5000 0.2500 0.7500  2 Sn 2.76
Cl 0.0000 0.7451 0.7451  1 Sn 2.71, 1 Na 2.81
Cl 0.5000 0.7500 0.2500  2 Sn 2.76
Cl 0.0000 0.2549 0.2549  1 Sn 2.71, 1 Na 2.81



No. 9
First-principles (PBE-GGA) data for an optimized crystal structure of Pm5Te4Br, as listed in the Alexandria database.

Results
Uncorrected formation energy = -127.16 kJ per mole of atoms
Distance to the lowest polymorph of the same formula = 0.0 kJ/mol of atoms

Cell lengths 4.4835, 4.4835, 17.7762 Å; angles 82.76, 82.76, 60.00 degrees
With the nearest neighbours (Å) after each atom.
Fractional coordinates of all 10 atoms:
Pm 0.4020 0.4020 0.7941  6 Te 3.16
Pm 0.0000 0.0000 0.0000  6 Te 3.16
Pm 0.5980 0.5980 0.2059  6 Te 3.16
Pm 0.8027 0.8027 0.5920  3 Br 3.05, 3 Te 3.12
Pm 0.1973 0.1973 0.4080  3 Br 3.05, 3 Te 3.12
Te 0.8971 0.8971 0.3086  6 Pm 3.12-3.16
Te 0.2991 0.2991 0.1028  6 Pm 3.16
Te 0.7009 0.7009 0.8972  6 Pm 3.16
Te 0.1029 0.1029 0.6914  6 Pm 3.12-3.16
Br 0.5000 0.5000 0.5000  6 Pm 3.05



No. 10
First-principles (PBE-GGA) data for an optimized crystal structure of RbYSi, as listed in the Alexandria database.

Results
Uncorrected formation energy = -5.40 kJ per mole of atoms
Distance to the lowest polymorph of the same formula = 22.7 kJ/mol of atoms

Cell lengths 9.8927, 5.7301, 5.7301 Å; angles 74.37, 115.45, 64.55 degrees
With the nearest neighbours (Å) after each atom.
Fractional coordinates of all 6 atoms:
Y 0.6325 0.6262 0.9547  4 Si 2.92-2.93
Y 0.6325 0.0453 0.3738  4 Si 2.92-2.93
Si 0.6344 0.1529 0.8471  1 Si 2.50
Si 0.6323 0.5164 0.4836  1 Si 2.50
Rb 0.1321 0.3302 0.6698  2 Rb 3.46-3.47
Rb 0.1332 0.8297 0.1703  2 Rb 3.46-3.47, 4 Si 3.68-3.72



No. 11
First-principles (PBE-GGA) data for an optimized crystal structure of Ge2SbS4, as listed in the Alexandria database.

Results
Uncorrected formation energy = -4.20 kJ per mole of atoms

Cell lengths 6.1915, 6.1915, 6.1915 Å; angles 105.00, 105.00, 118.85 degrees
With the nearest neighbours (Å) after each atom.
Fractional coordinates of all 7 atoms:
Ge 0.2500 0.7500 0.5000  4 S 2.38
Ge 0.7500 0.2500 0.5000  4 S 2.38
Sb 0.5000 0.5000 0.0000  4 S 2.76
S 0.3376 0.1723 0.5099  2 Ge 2.38
S 0.8277 0.3376 0.1653  2 Ge 2.38
S 0.1723 0.6624 0.8347  2 Ge 2.38
S 0.6624 0.8277 0.4901  2 Ge 2.38



D(E_F) (computed, states/eV per cell): 3.7, 5.8, 6.4, 2.7, 0.0, 7.5, 4.0, 3.1, 5.5, 4.4, 3.3